[1]
# Ho4ThZn

A relaxed Ho4ThZn crystal (PBE, Alexandria).

Unit cell a=3.5596 b=3.5596 c=13.5587 alpha=90.00 beta=90.00 gamma=90.00
Fractional coordinates of all 6 atoms:
Ho: 0.0000 0.0000 0.1283
Ho: 0.0000 0.0000 0.8717
Ho: 0.5000 0.5000 0.3208
Ho: 0.5000 0.5000 0.6792
Th: 0.0000 0.0000 0.5000
Zn: 0.5000 0.5000 0.0000

Summary:
- Size of the total moment: 0.000 μB per cell
- Energy relative to the elements: -0.098 eV/atom
- Space-group type: P4/mmm, No. 123

[2]
# Sm2HoGa6

A relaxed Sm2HoGa6 crystal (PBE, Alexandria).

Unit cell a=7.9244 b=7.9244 c=7.9244 alpha=148.10 beta=127.22 gamma=63.01
Fractional coordinates of all 9 atoms:
Sm: 0.1279 0.1279 0.0000
Sm: 0.8721 0.8721 0.0000
Ho: 0.5000 0.0000 0.5000
Ga: 0.1302 0.3195 0.8107
Ga: 0.1923 0.5000 0.6923
Ga: 0.4912 0.6805 0.8107
Ga: 0.5088 0.3195 0.1893
Ga: 0.8077 0.5000 0.3077
Ga: 0.8698 0.6805 0.1893

Summary:
- Size of the total moment: 0.000 μB per cell
- Energy relative to the elements: -0.437 eV/atom
- Space-group type: Immm, No. 71
- Excess energy over the best structure of this formula in the dataset: 21.2 kJ per mole of atoms

[3]
# CaLaTl

A relaxed CaLaTl crystal (PBE, Alexandria).

Unit cell a=7.2173 b=7.2173 c=7.8893 alpha=107.41 beta=107.41 gamma=31.22
Fractional coordinates of all 6 atoms:
Ca: 0.0000 0.0000 0.0000
Ca: 0.7181 0.7181 0.3515
La: 0.0118 0.0118 0.5098
La: 0.7057 0.7057 0.8404
Tl: 0.3587 0.3587 0.1749
Tl: 0.3592 0.3592 0.6759

Summary:
- Size of the total moment: 0.000 μB per cell
- Energy relative to the elements: -0.259 eV/atom
- Space-group type: Cm, No. 8
- Excess energy over the best structure of this formula in the dataset: 13.5 kJ per mole of atoms

[4]
# ErLuPuIn

A relaxed ErLuPuIn crystal (PBE, Alexandria).

Unit cell a=5.3439 b=5.3439 c=5.3439 alpha=60.00 beta=60.00 gamma=60.00
Fractional coordinates of all 4 atoms:
Er: 0.0000 0.0000 0.0000
Lu: 0.5000 0.5000 0.5000
Pu: 0.7500 0.7500 0.7500
In: 0.2500 0.2500 0.2500

Summary:
- Size of the total moment: 6.606 μB per cell
- Energy relative to the elements: -0.034 eV/atom
- Space-group type: F-43m, No. 216